Here is a relaxed Cs2NpZn3F12 crystal from Alexandria via LeMat-Bulk. Energies are from PBE-GGA.

- density of states at the Fermi level (states/eV/f.u.) = 11.8

a b c (Å): 7.5654 7.5654 20.1068
angles (deg): 90.00 90.00 120.00
With the nearest neighbours (Å) after each atom.
Space group R-3m (No. 166, hexagonal axes)
Inequivalent atoms, fractional coordinates:
Cs (0.0000, 0.0000, 0.0986)  6 F 3.19-3.45
Np (0.0000, 0.0000, 0.5000)  6 F 2.17
Zn (0.0000, 0.5000, 0.0000)  6 F 2.00-2.22
F (0.0524, 0.5262, 0.1092)  1 Np 2.17, 1 Zn 2.22
F (0.0718, 0.5359, 0.3441)  2 Zn 2.00

Here is a relaxed Cs5O2F crystal from Alexandria via LeMat-Bulk. Energies are from PBE-GGA.

- density of states at the Fermi level (states/eV/f.u.) = 0.2

a b c (Å): 5.7544 14.8582 14.5857
angles (deg): 90.00 90.00 90.00
With the nearest neighbours (Å) after each atom.
Space group Cmcm (No. 63)
Inequivalent atoms, fractional coordinates:
Cs (0.0000, 0.0518, 0.1130)  2 O 2.75-2.83
Cs (0.0000, 0.2092, 0.7500)  2 O 3.04, 2 F 3.07
Cs (0.0000, 0.3085, 0.0628)  3 O 3.02-3.17, 1 F 3.04
O (0.0000, 0.1308, 0.5575)  5 Cs 2.75-3.04
F (0.0000, 0.2184, 0.2500)  6 Cs 3.04-3.18

Here is a relaxed CsO2F4 crystal from Alexandria via LeMat-Bulk. Energies are from PBE-GGA.

- density of states at the Fermi level (states/eV/f.u.) = 3.4

a b c (Å): 6.9092 6.9092 5.4832
angles (deg): 90.00 90.00 90.00
With the nearest neighbours (Å) after each atom.
Space group I4/mmm (No. 139)
Inequivalent atoms, fractional coordinates:
Cs (0.0000, 0.0000, 0.0000)  16 F 3.40-3.74, 8 O 3.72
O (0.0000, 0.5000, 0.2500)  4 F 1.99
F (0.0000, 0.2921, 0.5000)  2 O 1.99

Here is a relaxed Cs4O2F3 crystal from Alexandria via LeMat-Bulk. Energies are from PBE-GGA.

- density of states at the Fermi level (states/eV/f.u.) = 1.0

a b c (Å): 15.0241 8.8743 8.1529
angles (deg): 90.00 101.00 90.00
With the nearest neighbours (Å) after each atom.
Space group C2/c (No. 15)
Inequivalent atoms, fractional coordinates:
Cs (0.0162, 0.2366, 0.0219)  4 F 2.91-3.14, 1 O 3.01
Cs (0.2487, 0.4260, 0.6831)  3 F 2.95-3.06, 3 O 3.03-3.11
O (0.2082, 0.2244, 0.9662)  1 O 1.35
F (0.0000, 0.0104, 0.7500)  4 Cs 2.91-2.97
F (0.1395, 0.3523, 0.3528)  5 Cs 2.91-3.14

Here is a relaxed CsO2F crystal from Alexandria via LeMat-Bulk. Energies are from PBE-GGA.

- distance to the lowest polymorph of the same formula (eV/atom) = 0.482
- density of states at the Fermi level (states/eV/f.u.) = 3.4

a b c (Å): 4.3317 4.3317 10.6156
angles (deg): 90.00 90.00 120.00
With the nearest neighbours (Å) after each atom.
Space group R-3m (No. 166, hexagonal axes)
Inequivalent atoms, fractional coordinates:
Cs (0.0000, 0.0000, 0.0000)  2 O 2.08
O (0.0000, 0.0000, 0.1957)  1 Cs 2.08
F (0.0000, 0.0000, 0.5000)  6 O 2.52

Here is a relaxed CsO2F crystal from Alexandria via LeMat-Bulk. Energies are from PBE-GGA.

- distance to the lowest polymorph of the same formula (eV/atom) = 0.000
- density of states at the Fermi level (states/eV/f.u.) = 1.7

a b c (Å): 3.8909 3.8909 19.8126
angles (deg): 90.00 90.00 90.00
With the nearest neighbours (Å) after each atom.
Space group I4_1/amd (No. 141, origin choice 2)
Inequivalent atoms, fractional coordinates:
Cs (0.0000, 0.2500, 0.3750)  4 F 2.75
O (0.0000, 0.0000, 0.0000)  2 O 1.95
F (0.0000, 0.2500, 0.8750)  4 O 2.66, 4 Cs 2.75

Here is a relaxed CsO8F6 crystal from Alexandria via LeMat-Bulk. Energies are from PBE-GGA.

- density of states at the Fermi level (states/eV/f.u.) = 10.2

a b c (Å): 7.8551 7.8551 14.4994
angles (deg): 90.00 90.00 120.00
With the nearest neighbours (Å) after each atom.
Space group R-3 (No. 148, hexagonal axes)
Inequivalent atoms, fractional coordinates:
Cs (0.0000, 0.0000, 0.0000)  6 F 3.06
O (0.0000, 0.0000, 0.2697)  3 F 1.63
O (0.0929, 0.8984, 0.4798)  2 O 1.45
F (0.0935, 0.5419, 0.4006)  1 O 1.63

Here is a relaxed Cs2O2F crystal from Alexandria via LeMat-Bulk. Energies are from PBE-GGA.

- density of states at the Fermi level (states/eV/f.u.) = 0.0

a b c (Å): 8.0031 8.0031 4.3837
angles (deg): 90.00 90.00 90.00
With the nearest neighbours (Å) after each atom.
Space group P4/mbm (No. 127)
Inequivalent atoms, fractional coordinates:
Cs (0.2026, 0.2974, 0.0000)  2 F 2.88
O (0.0600, 0.5600, 0.5000)  1 O 1.36
F (0.0000, 0.0000, 0.0000)  4 Cs 2.88

Here is a relaxed Cs2OF crystal from Alexandria via LeMat-Bulk. Energies are from PBE-GGA.

- distance to the lowest polymorph of the same formula (eV/atom) = 0.000
- density of states at the Fermi level (states/eV/f.u.) = 0.8

a b c (Å): 4.3107 4.3107 22.0782
angles (deg): 90.00 90.00 120.00
With the nearest neighbours (Å) after each atom.
Space group R3m (No. 160, hexagonal axes)
Inequivalent atoms, fractional coordinates:
Cs (0.0000, 0.0000, 0.0000)  3 O 3.08, 3 F 3.10
Cs (0.0000, 0.0000, 0.1692)  3 O 3.07, 3 F 3.12
O (0.0000, 0.0000, 0.5842)  6 Cs 3.07-3.08
F (0.0000, 0.0000, 0.4173)  6 Cs 3.10-3.12

Here is a relaxed Cs3OF crystal from Alexandria via LeMat-Bulk. Energies are from PBE-GGA.

- distance to the lowest polymorph of the same formula (eV/atom) = 0.000

a b c (Å): 7.6498 4.3665 10.3366
angles (deg): 90.00 90.66 90.00
With the nearest neighbours (Å) after each atom.
Space group P2_1/m (No. 11)
Inequivalent atoms, fractional coordinates:
Cs (0.0824, 0.2500, 0.3130)  2 O 2.79, 1 F 2.97
Cs (0.2271, 0.7500, 0.9967)  3 O 3.17-3.23, 3 F 3.25-3.27
Cs (0.4008, 0.2500, 0.6904)  1 O 2.65, 2 F 2.86
O (0.0885, 0.2500, 0.7987)  3 Cs 2.65-2.79
F (0.4263, 0.2500, 0.1824)  3 Cs 2.86-2.97

Here is a relaxed Cs3OF crystal from Alexandria via LeMat-Bulk. Energies are from PBE-GGA.

- distance to the lowest polymorph of the same formula (eV/atom) = 0.205
- density of states at the Fermi level (states/eV/f.u.) = 0.0

a b c (Å): 5.7655 5.7655 5.7655
angles (deg): 90.00 90.00 90.00
With the nearest neighbours (Å) after each atom.
Space group Pm-3m (No. 221)
Inequivalent atoms, fractional coordinates:
Cs (0.0000, 0.0000, 0.5000)  2 O 2.88
O (0.0000, 0.0000, 0.0000)  6 Cs 2.88
F (0.5000, 0.5000, 0.5000)  12 Cs 4.08

Here is a relaxed Cs2O2F crystal from Alexandria via LeMat-Bulk. Energies are from PBE-GGA.

- density of states at the Fermi level (states/eV/f.u.) = 2.2

a b c (Å): 4.0372 13.6885 10.4175
angles (deg): 90.00 90.00 90.00
With the nearest neighbours (Å) after each atom.
Space group Cmc2_1 (No. 36)
Inequivalent atoms, fractional coordinates:
Cs (0.0000, 0.0076, 0.0000)  2 F 2.88, 1 O 3.10
Cs (0.0000, 0.2098, 0.7338)  6 O 3.00-3.25, 2 F 3.02
O (0.0000, 0.2141, 0.4410)  1 O 1.35
O (0.0000, 0.3090, 0.4772)  1 O 1.35
F (0.0000, 0.4491, 0.1814)  4 Cs 2.88-3.02

Here is a relaxed Cs2OF6 crystal from Alexandria via LeMat-Bulk. Energies are from PBE-GGA.

- density of states at the Fermi level (states/eV/f.u.) = 11.1

a b c (Å): 6.3848 6.3998 10.9269
angles (deg): 90.00 125.57 90.00
With the nearest neighbours (Å) after each atom.
Space group P2_1/c (No. 14)
Inequivalent atoms, fractional coordinates:
Cs (0.2497, 0.0016, 0.2500)  12 F 3.19-3.24
O (0.0000, 0.0000, 0.5000)  4 F 1.73
F (0.1918, 0.1922, 0.5002)  1 O 1.73
F (0.1963, 0.5025, 0.1949)  1 O 1.73
F (0.2905, 0.7096, 0.4998)  1 O 2.63

Here is a relaxed Cs12O5F3 crystal from Alexandria via LeMat-Bulk. Energies are from PBE-GGA.

- density of states at the Fermi level (states/eV/f.u.) = 12.1

a b c (Å): 17.8381 17.8381 17.8381
angles (deg): 90.00 90.00 90.00
With the nearest neighbours (Å) after each atom.
Space group Ia-3d (No. 230)
Inequivalent atoms, fractional coordinates:
Cs (0.0247, 0.0587, 0.6533)  2 O 2.70-2.96
O (0.0000, 0.0000, 0.0000)  6 Cs 2.96
O (0.0000, 0.2500, 0.3750)  4 Cs 2.70
F (0.0000, 0.2500, 0.1250)  8 Cs 3.35-3.48

Here is a relaxed Cs2OF crystal from Alexandria via LeMat-Bulk. Energies are from PBE-GGA.

- distance to the lowest polymorph of the same formula (eV/atom) = 0.038
- density of states at the Fermi level (states/eV/f.u.) = 5.5

a b c (Å): 6.5313 6.5313 13.9713
angles (deg): 90.00 90.00 90.00
With the nearest neighbours (Å) after each atom.
Space group I-42d (No. 122)
Inequivalent atoms, fractional coordinates:
Cs (0.2477, 0.2500, 0.1250)  2 F 2.89, 2 O 2.90
O (0.0000, 0.0000, 0.5000)  4 Cs 2.90
F (0.0000, 0.0000, 0.0000)  4 Cs 2.89

Here is a relaxed Cs4OF2 crystal from Alexandria via LeMat-Bulk. Energies are from PBE-GGA.

- distance to the lowest polymorph of the same formula (eV/atom) = 0.000

a b c (Å): 15.0887 4.4709 7.4770
angles (deg): 90.00 114.85 90.00
With the nearest neighbours (Å) after each atom.
Space group C2/m (No. 12)
Inequivalent atoms, fractional coordinates:
Cs (0.1205, 0.0000, 0.4139)  1 O 2.86, 3 F 2.91-2.95
Cs (0.1305, 0.5000, 0.9902)  2 O 3.00, 1 F 3.01
O (0.0000, 0.0000, 0.0000)  6 Cs 2.86-3.00
F (0.2074, 0.5000, 0.6782)  4 Cs 2.91-3.01

Here is a relaxed Cs4OF2 crystal from Alexandria via LeMat-Bulk. Energies are from PBE-GGA.

- distance to the lowest polymorph of the same formula (eV/atom) = 0.140
- density of states at the Fermi level (states/eV/f.u.) = 2.2

a b c (Å): 5.7496 5.7496 15.4919
angles (deg): 90.00 90.00 90.00
With the nearest neighbours (Å) after each atom.
Space group I4/mmm (No. 139)
Inequivalent atoms, fractional coordinates:
Cs (0.0000, 0.0000, 0.1795)  1 O 2.78, 1 F 2.87
Cs (0.0000, 0.5000, 0.0000)  2 O 2.87
O (0.0000, 0.0000, 0.0000)  6 Cs 2.78-2.87
F (0.0000, 0.0000, 0.3645)  1 Cs 2.87

Here is a relaxed Cs5OF2 crystal from Alexandria via LeMat-Bulk. Energies are from PBE-GGA.

- density of states at the Fermi level (states/eV/f.u.) = 2.1

a b c (Å): 12.0357 10.1483 7.3956
angles (deg): 90.00 123.16 90.00
With the nearest neighbours (Å) after each atom.
Space group Cm (No. 8)
Inequivalent atoms, fractional coordinates:
Cs (0.0000, 0.0000, 0.0000)  1 O 2.84, 2 F 2.89
Cs (0.0431, 0.5000, 0.3242)  1 O 2.84, 2 F 2.98
Cs (0.2065, 0.0000, 0.6597)  1 O 2.87, 2 F 3.04
Cs (0.2896, 0.2527, 0.2354)  1 O 2.73, 1 F 3.06
O (0.2613, 0.0000, 0.0898)  5 Cs 2.73-2.87
F (0.0633, 0.2078, 0.3099)  5 Cs 2.89-3.09

Here is a relaxed Cs3O2F crystal from Alexandria via LeMat-Bulk. Energies are from PBE-GGA.

a b c (Å): 7.8178 7.8178 6.2419
angles (deg): 90.00 90.00 120.00
With the nearest neighbours (Å) after each atom.
Space group P6_3/mmc (No. 194)
Inequivalent atoms, fractional coordinates:
Cs (0.1789, 0.3578, 0.2500)  2 F 2.88, 2 O 3.15
O (0.3333, 0.6667, 0.6274)  1 O 1.53
F (0.0000, 0.0000, 0.0000)  6 Cs 2.88, 2 F 3.12

Energy relative to the elements, uncorrected values, unit meV per atom, following the record order: -2764.3; -1339.8; -199.2; -2002.5; 250.9; -231.0; -108.5; -1509.8; -1584.5; -1615.3; -1410.5; -1504.5; -1123.9; -1397.8; -1546.0; -1887.8; -1748.0; -1653.5; -1326.8.